Record 1
Tc3P3Ru after structural relaxation. Source: Alexandria, functional PBE.

a b c (Å): 3.712 10.568 9.839
angles (deg): 90.00 90.00 90.00
Element x y z (fractional)
Tc  0.750  0.721  0.775
Tc  0.250  0.779  0.275
Tc  0.250  0.279  0.225
Tc  0.750  0.221  0.725
Tc  0.750  0.198  0.007
Tc  0.250  0.302  0.507
Tc  0.250  0.802  0.993
Tc  0.750  0.698  0.493
Tc  0.750  0.956  0.622
Tc  0.250  0.544  0.122
Tc  0.250  0.044  0.378
Tc  0.750  0.456  0.878
P  0.750  0.919  0.877
P  0.250  0.581  0.377
P  0.250  0.081  0.123
P  0.750  0.419  0.623
P  0.750  0.896  0.387
P  0.250  0.604  0.887
P  0.250  0.104  0.613
P  0.750  0.396  0.113
P  0.750  0.723  0.128
P  0.250  0.777  0.628
P  0.250  0.277  0.872
P  0.750  0.223  0.372
Ru  0.750  0.953  0.156
Ru  0.250  0.547  0.656
Ru  0.250  0.047  0.844
Ru  0.750  0.453  0.344

Properties
Volume in Å³ per atom: 13.8
ΔH_f (0 K) in eV/atom: -0.453
N(E_F) in states/eV/cell: 15.42
Symmetry: No. 62



Record 2
TcPRu2 after structural relaxation. Source: Alexandria, functional PBE.

a b c (Å): 4.483 4.483 2.797
angles (deg): 90.00 90.00 103.17
Element x y z (fractional)
Tc  0.000  0.000  0.500
P  0.500  0.500  0.500
Ru  0.500  0.000  0.000
Ru  0.000  0.500  0.000

Properties
Volume in Å³ per atom: 13.7
ΔH_f (0 K) in eV/atom: 0.145
N(E_F) in states/eV/cell: 5.08
Symmetry: No. 65



Record 3
TcPRu2 after structural relaxation. Source: Alexandria, functional PBE.

a b c (Å): 5.067 5.067 5.067
angles (deg): 147.25 129.77 61.27
Element x y z (fractional)
Tc  0.000  0.500  0.500
P  0.500  0.000  0.500
Ru  0.716  0.716  0.000
Ru  0.284  0.284  0.000

Properties
Volume in Å³ per atom: 13.4
ΔH_f (0 K) in eV/atom: -0.234
N(E_F) in states/eV/cell: 2.91
Symmetry: No. 71



Record 4
TcPRu2 after structural relaxation. Source: Alexandria, functional PBE.

a b c (Å): 3.929 2.816 5.096
angles (deg): 75.45 90.00 90.00
Element x y z (fractional)
Tc  0.500  0.500  0.000
P  0.500  0.500  0.500
Ru  0.000  0.135  0.736
Ru  0.000  0.865  0.264

Properties
Volume in Å³ per atom: 13.6
ΔH_f (0 K) in eV/atom: -0.137
N(E_F) in states/eV/cell: 3.53
Symmetry: No. 10



Record 5
TcPRu2 after structural relaxation. Source: Alexandria, functional PBE.

a b c (Å): 4.829 4.829 4.314
angles (deg): 89.45 89.45 33.80
Element x y z (fractional)
Tc  0.500  0.500  0.000
P  0.000  0.000  0.500
Ru  0.223  0.223  0.756
Ru  0.777  0.777  0.244

Properties
Volume in Å³ per atom: 14.0
ΔH_f (0 K) in eV/atom: 0.006
N(E_F) in states/eV/cell: 3.68
Symmetry: No. 12



Record 6
TcPRu2 after structural relaxation. Source: Alexandria, functional PBE.

a b c (Å): 2.767 2.767 8.237
angles (deg): 90.00 90.00 116.97
Element x y z (fractional)
Tc  0.500  0.500  0.500
P  0.500  0.500  0.000
Ru  0.000  0.000  0.222
Ru  0.000  0.000  0.778

Properties
Volume in Å³ per atom: 14.1
ΔH_f (0 K) in eV/atom: 0.285
N(E_F) in states/eV/cell: 6.02
Symmetry: No. 65



Record 7
TcPRu2 after structural relaxation. Source: Alexandria, functional PBE.

a b c (Å): 5.397 5.397 6.515
angles (deg): 65.53 65.53 90.00
Element x y z (fractional)
Ru  0.605  0.125  0.250
Ru  0.145  0.625  0.250
Ru  0.375  0.395  0.750
Ru  0.875  0.855  0.750
Tc  0.000  0.000  0.000
Tc  0.750  0.250  0.500
P  0.500  0.500  0.000
P  0.250  0.750  0.500

Properties
Volume in Å³ per atom: 19.2
ΔH_f (0 K) in eV/atom: 0.448
N(E_F) in states/eV/cell: 5.59
Symmetry: No. 122



Record 8
TcPRu4 after structural relaxation. Source: Alexandria, functional PBE.

a b c (Å): 5.048 5.048 5.048
angles (deg): 60.00 60.00 60.00
Element x y z (fractional)
Tc  0.750  0.750  0.750
P  0.000  0.000  0.000
Ru  0.875  0.375  0.375
Ru  0.375  0.375  0.875
Ru  0.375  0.875  0.375
Ru  0.375  0.375  0.375

Properties
Volume in Å³ per atom: 15.2
ΔH_f (0 K) in eV/atom: 0.813
N(E_F) in states/eV/cell: 9.00
Symmetry: No. 216



Record 9
TcPRu2 after structural relaxation. Source: Alexandria, functional PBE.

a b c (Å): 2.780 2.780 8.265
angles (deg): 90.00 90.00 117.91
Last column: magnetic moment on the atom in μB.
Element x y z (fractional)
Tc  0.000  0.000  0.475  0.13
P  0.500  0.500  0.248  0.00
Ru  0.000  0.000  0.029  0.08
Ru  0.500  0.500  0.748  0.56

Properties
Volume in Å³ per atom: 14.1
ΔH_f (0 K) in eV/atom: 0.305
N(E_F) in states/eV/cell: 5.25
Symmetry: No. 35



Record 10
TcPRu2 after structural relaxation. Source: Alexandria, functional PBE.

a b c (Å): 8.243 8.243 8.243
angles (deg): 19.51 19.51 19.51
Element x y z (fractional)
Tc  0.500  0.500  0.500
P  0.000  0.000  0.000
Ru  0.742  0.742  0.742
Ru  0.258  0.258  0.258

Properties
Volume in Å³ per atom: 13.7
ΔH_f (0 K) in eV/atom: -0.049
N(E_F) in states/eV/cell: 5.52
Symmetry: No. 166



Record 11
TcPRu2 after structural relaxation. Source: Alexandria, functional PBE.

a b c (Å): 4.657 4.657 4.657
angles (deg): 132.40 132.40 69.60
Element x y z (fractional)
Tc  0.500  0.500  0.000
P  0.750  0.250  0.500
Ru  0.000  0.000  0.000
Ru  0.250  0.750  0.500

Properties
Volume in Å³ per atom: 13.5
ΔH_f (0 K) in eV/atom: 0.063
N(E_F) in states/eV/cell: 3.96
Symmetry: No. 119



Record 12
TcPRu2 after structural relaxation. Source: Alexandria, functional PBE.

a b c (Å): 2.805 3.751 5.212
angles (deg): 90.00 90.00 90.00
Element x y z (fractional)
Tc  0.500  0.500  0.000
P  0.500  0.500  0.500
Ru  0.000  0.000  0.747
Ru  0.000  0.000  0.253

Properties
Volume in Å³ per atom: 13.7
ΔH_f (0 K) in eV/atom: 0.072
N(E_F) in states/eV/cell: 4.31
Symmetry: No. 47



> What is the volume in the fifth record?

14.0 Å³ per atom